This record from the Alexandria database describes a relaxed structure of MoBrCl. The functional is PBE.

```
MoBrCl
1.0
-2.1965 -1.9380 1.4683
3.2004 -0.6445 0.2808
0.3222 4.2601 6.1050
Br Cl Mo
1 1 1
Direct
0.0000 0.0000 0.9039
0.6667 0.3333 0.4381
0.3333 0.6667 0.6580
```

Results
Final energy ... -5.04 eV/atom
E_form (uncorrected) ... -0.75 eV/f.u.
SG ... P3m1, No. 156



This record from the Alexandria database describes a relaxed structure of MoBrCl3. The functional is PBE.

```
MoBrCl3
1.0
6.0737 0.0000 0.0000
0.0000 9.6595 0.9221
0.0000 -0.2106 9.4787
Br Mo Cl
4 4 12
Direct
0.8117 0.0227 0.7845
0.1883 0.9773 0.2155
0.3117 0.4773 0.7155
0.6883 0.5227 0.2845
0.9971 0.1098 0.3881
0.5029 0.6098 0.8881
0.0029 0.8902 0.6119
0.4971 0.3902 0.1119
0.7312 0.9326 0.4345
0.2312 0.5674 0.0655
0.7610 0.6824 0.6831
0.3115 0.2382 0.9792
0.2688 0.0674 0.5655
0.2390 0.3176 0.3169
0.7390 0.1824 0.1831
0.6885 0.7618 0.0208
0.7688 0.4326 0.9345
0.8115 0.2618 0.5208
0.1885 0.7382 0.4792
0.2610 0.8176 0.8169
```

Results
Final energy ... -4.33 eV/atom
E_form (uncorrected) ... -3.59 eV/f.u.
SG ... P2_1/c, No. 14



Record order is preserved below.
Size of the total moment: 0.00; 4.09 μB/cell